(1)
DFT (PBE) results for crystalline LaSi2BOs2 at its relaxed geometry.

Cell: 4.1860 4.1860 5.4430 Å, 90.00 90.00 90.00°
With the nearest neighbours (Å) after each atom.
Space group P4/mmm (No. 123)
Inequivalent atoms, fractional coordinates:
La 0.0000 0.0000 0.0000 (multiplicity 1)  2 B 2.72
Si 0.5000 0.5000 0.2257 (multiplicity 2)  1 Si 2.46, 4 Os 2.57
B 0.0000 0.0000 0.5000 (multiplicity 1)  4 Os 2.09
Os 0.0000 0.5000 0.5000 (multiplicity 2)  2 B 2.09

Results
formation energy without anion corrections	-0.53	eV per atom

=====

(2)
DFT (PBE) results for crystalline SrOsAu at its relaxed geometry.

Cell: 4.4363 4.4363 4.4171 Å, 90.00 90.00 120.00°
With the nearest neighbours (Å) after each atom.
Space group P-6m2 (No. 187)
Inequivalent atoms, fractional coordinates:
Sr 0.0000 0.0000 0.0000 (multiplicity 1)  6 Au 3.38, 6 Os 3.38
Os 0.3333 0.6667 0.5000 (multiplicity 1)  3 Au 2.56
Au 0.6667 0.3333 0.5000 (multiplicity 1)  3 Os 2.56

Results
energy of formation	0.39	eV/atom
offset from the most stable computed form	0	meV per atom

=====

Calculated uncorrected energy, -8.0175 -5.0087 eV per atom (same order as the records).